Density functional theory data (meta-GGA SCAN) for a PBEsol-optimized structure of CuP2W.

The structure belongs to space group Cm (No. 8); the cell edges are 8.5842, 3.1489 and 4.0658 Å and the angles 90.00°, 102.80° and 90.00°. The distinct sites, in fractional coordinates, are Cu at (0.0000, 0.0000, 0.0000), P at (0.2492, 0.0000, 0.8972), P at (0.4982, 0.0000, 0.4694) and W at (0.2775, 0.5000, 0.3877).

The value obtained for the total DFT energy (no corrections) is -26.311 eV per atom. The calculated density is 9.59 g/cm3. The energy of formation comes out at 110 meV per atom.